# 1
A relaxed CaMnAl2 crystal. Source: Alexandria, functional GGA-PBE.

The value obtained for the formation enthalpy at 0 K is 0.067 eV/atom. The value obtained for the final energy is -4.597 eV/atom. The calculation puts the total magnetic moment at 0.705 μB per atom.

Structure (POSCAR):
```
CaMnAl2
1.0
3.182 -0.001 0.000
0.001 3.182 0.000
0.000 0.000 7.548
Ca Mn Al
1 1 2
direct
0.000 0.000 0.510
0.500 0.500 0.811
0.000 0.000 0.980
0.500 0.500 0.199
```



# 2
A relaxed CaMnAl crystal. Source: Alexandria, functional GGA-PBE.

The value obtained for the formation enthalpy at 0 K is 0.391 eV/atom. The value obtained for the final energy is -4.580 eV/atom. The calculation puts the total magnetic moment at 1.248 μB per atom.

Structure (POSCAR):
```
CaMnAl
1.0
-4.053 -2.185 0.950
-0.876 -1.540 4.354
-3.258 2.131 2.636
Ca Mn Al
1 1 1
direct
0.500 0.500 0.500
0.750 0.750 0.750
0.000 0.000 0.000
```



# 3
A relaxed CaMnAl crystal. Source: Alexandria, functional GGA-PBE.

The value obtained for the formation enthalpy at 0 K is 0.135 eV/atom. The value obtained for the final energy is -4.836 eV/atom. The calculation puts the total magnetic moment at 1.269 μB per atom.

Structure (POSCAR):
```
CaMnAl
1.0
4.689 0.000 0.000
-2.345 4.061 0.000
0.000 0.000 3.557
Ca Mn Al
1 1 1
direct
0.667 0.333 0.333
0.333 0.667 0.833
0.000 0.000 0.833
```



# 4
A relaxed CaMnAl2 crystal. Source: Alexandria, functional GGA-PBE.

The value obtained for the formation enthalpy at 0 K is 0.193 eV/atom. The value obtained for the final energy is -4.471 eV/atom. The calculation puts the total magnetic moment at 0.801 μB per atom.

Structure (POSCAR):
```
CaMnAl2
1.0
-0.434 -7.117 5.933
2.373 -7.734 4.533
2.222 -5.684 6.983
Ca Mn Al
1 1 2
direct
0.250 0.250 0.250
0.750 0.750 0.750
0.012 0.012 0.012
0.488 0.488 0.488
```



| no. | N(E_F) (states/eV per atom) |
| --- | --- |
| 1 | 0.74 |
| 2 | 0.58 |
| 3 | 0.90 |
| 4 | 0.87 |